1.
This record from Alexandria via LeMat-Bulk describes a relaxed structure of TmPaCrOs. The functional is GGA-PBE.

Computed properties:
Its density is 13.53 Mg/m³. Its space group is F-43m (216). As for the uncorrected energy: -0.3192 Ha/atom. For the total magnetization, the calculation gives 0.3996 μB/atom.

```
data_TmPaCrOs
_chemical_formula_sum 'Tm1 Pa1 Cr1 Os1'
_cell_length_a 4.8131
_cell_length_b 4.8131
_cell_length_c 4.8131
_cell_angle_alpha 60.00
_cell_angle_beta 60.00
_cell_angle_gamma 60.00
_symmetry_space_group_name_H-M 'P 1'
_symmetry_Int_Tables_number 1
loop_
_symmetry_equiv_pos_as_xyz
'x,y,z'
loop_
_atom_site_label
_atom_site_type_symbol
_atom_site_fract_x
_atom_site_fract_y
_atom_site_fract_z
Tm1 Tm 0.0000 0.0000 0.0000
Pa1 Pa 0.5000 0.5000 0.5000
Cr1 Cr 0.2500 0.2500 0.2500
Os1 Os 0.7500 0.7500 0.7500
```

2.
This record from Alexandria via LeMat-Bulk describes a relaxed structure of AgSn2Au3. The functional is GGA-PBE.

Computed properties:
Its density is 11.38 Mg/m³. Its space group is Cmcm (63). As for the uncorrected energy: -0.1297 Ha/atom. For the total magnetization, the calculation gives 0.0000 μB/atom.

```
data_AgSn2Au3
_chemical_formula_sum 'Ag2 Sn4 Au6'
_cell_length_a 7.5084
_cell_length_b 7.5084
_cell_length_c 5.7162
_cell_angle_alpha 90.00
_cell_angle_beta 90.00
_cell_angle_gamma 57.96
_symmetry_space_group_name_H-M 'P 1'
_symmetry_Int_Tables_number 1
loop_
_symmetry_equiv_pos_as_xyz
'x,y,z'
loop_
_atom_site_label
_atom_site_type_symbol
_atom_site_fract_x
_atom_site_fract_y
_atom_site_fract_z
Ag1 Ag 0.1468 0.8532 0.7500
Ag2 Ag 0.8532 0.1468 0.2500
Sn1 Sn 0.1720 0.5022 0.2500
Sn2 Sn 0.4978 0.8280 0.2500
Sn3 Sn 0.5022 0.1720 0.7500
Sn4 Sn 0.8280 0.4978 0.7500
Au1 Au 0.1702 0.1702 0.0000
Au2 Au 0.1702 0.1702 0.5000
Au3 Au 0.5000 0.5000 0.0000
Au4 Au 0.5000 0.5000 0.5000
Au5 Au 0.8298 0.8298 0.0000
Au6 Au 0.8298 0.8298 0.5000
```

3.
This record from Alexandria via LeMat-Bulk describes a relaxed structure of NaOsCl2. The functional is GGA-PBE.

Computed properties:
Its density is 6.43 Mg/m³. Its space group is Fm-3m (225). As for the uncorrected energy: -0.1341 Ha/atom. The raw formation energy is 0.41 eV/atom. For the total magnetization, the calculation gives 0.7500 μB/atom.

```
data_NaOsCl2
_chemical_formula_sum 'Na1 Os1 Cl2'
_cell_length_a 4.7000
_cell_length_b 4.7000
_cell_length_c 4.7000
_cell_angle_alpha 60.00
_cell_angle_beta 60.00
_cell_angle_gamma 60.00
_symmetry_space_group_name_H-M 'P 1'
_symmetry_Int_Tables_number 1
loop_
_symmetry_equiv_pos_as_xyz
'x,y,z'
loop_
_atom_site_label
_atom_site_type_symbol
_atom_site_fract_x
_atom_site_fract_y
_atom_site_fract_z
Na1 Na 0.0000 0.0000 0.0000
Os1 Os 0.5000 0.5000 0.5000
Cl1 Cl 0.2500 0.2500 0.2500
Cl2 Cl 0.7500 0.7500 0.7500
```

4.
This record from Alexandria via LeMat-Bulk describes a relaxed structure of ScPOs. The functional is GGA-PBE.

Computed properties:
Its density is 8.87 Mg/m³. Its space group is F-43m (216). As for the uncorrected energy: -0.2955 Ha/atom. For the total magnetization, the calculation gives 0.0001 μB/atom.

```
data_ScPOs
_chemical_formula_sum 'Sc1 P1 Os1'
_cell_length_a 4.1302
_cell_length_b 4.1302
_cell_length_c 4.1302
_cell_angle_alpha 60.00
_cell_angle_beta 60.00
_cell_angle_gamma 60.00
_symmetry_space_group_name_H-M 'P 1'
_symmetry_Int_Tables_number 1
loop_
_symmetry_equiv_pos_as_xyz
'x,y,z'
loop_
_atom_site_label
_atom_site_type_symbol
_atom_site_fract_x
_atom_site_fract_y
_atom_site_fract_z
Sc1 Sc 0.0000 0.0000 0.0000
P1 P 0.7500 0.7500 0.7500
Os1 Os 0.5000 0.5000 0.5000
```

5.
This record from Alexandria via LeMat-Bulk describes a relaxed structure of SrAl4Cu2. The functional is GGA-PBE.

Computed properties:
Its density is 4.12 Mg/m³. Its space group is Cmmm (65). As for the uncorrected energy: -0.1377 Ha/atom. For the total magnetization, the calculation gives 0.0000 μB/atom.

```
data_SrAl4Cu2
_chemical_formula_sum 'Sr1 Al4 Cu2'
_cell_length_a 7.4456
_cell_length_b 7.4456
_cell_length_c 4.2648
_cell_angle_alpha 90.00
_cell_angle_beta 90.00
_cell_angle_gamma 146.59
_symmetry_space_group_name_H-M 'P 1'
_symmetry_Int_Tables_number 1
loop_
_symmetry_equiv_pos_as_xyz
'x,y,z'
loop_
_atom_site_label
_atom_site_type_symbol
_atom_site_fract_x
_atom_site_fract_y
_atom_site_fract_z
Sr1 Sr 0.0000 0.0000 0.0000
Al1 Al 0.1846 0.8154 0.5000
Al2 Al 0.3149 0.6851 0.0000
Al3 Al 0.6851 0.3149 0.0000
Al4 Al 0.8154 0.1846 0.5000
Cu1 Cu 0.4069 0.5931 0.5000
Cu2 Cu 0.5931 0.4069 0.5000
```

6.
This record from Alexandria via LeMat-Bulk describes a relaxed structure of Cs3GaBr5. The functional is GGA-PBE.

Computed properties:
Its density is 3.59 Mg/m³. Its space group is P4/mbm (127). As for the uncorrected energy: -0.1056 Ha/atom. The raw formation energy is -1.32 eV/atom. For the total magnetization, the calculation gives 0.1124 μB/atom.

```
data_Cs3GaBr5
_chemical_formula_sum 'Cs6 Ga2 Br10'
_cell_length_a 9.6291
_cell_length_b 9.6291
_cell_length_c 8.6519
_cell_angle_alpha 90.00
_cell_angle_beta 90.00
_cell_angle_gamma 90.00
_symmetry_space_group_name_H-M 'P 1'
_symmetry_Int_Tables_number 1
loop_
_symmetry_equiv_pos_as_xyz
'x,y,z'
loop_
_atom_site_label
_atom_site_type_symbol
_atom_site_fract_x
_atom_site_fract_y
_atom_site_fract_z
Cs1 Cs 0.0000 0.0000 0.0000
Cs2 Cs 0.1631 0.3369 0.5000
Cs3 Cs 0.3369 0.8369 0.5000
Cs4 Cs 0.5000 0.5000 0.0000
Cs5 Cs 0.6631 0.1631 0.5000
Cs6 Cs 0.8369 0.6631 0.5000
Ga1 Ga 0.0000 0.5000 0.0000
Ga2 Ga 0.5000 0.0000 0.0000
Br1 Br 0.0000 0.0000 0.5000
Br2 Br 0.1401 0.6401 0.2133
Br3 Br 0.1401 0.6401 0.7867
Br4 Br 0.3599 0.1401 0.2133
Br5 Br 0.3599 0.1401 0.7867
Br6 Br 0.5000 0.5000 0.5000
Br7 Br 0.6401 0.8599 0.2133
Br8 Br 0.6401 0.8599 0.7867
Br9 Br 0.8599 0.3599 0.2133
Br10 Br 0.8599 0.3599 0.7867
```

7.
This record from Alexandria via LeMat-Bulk describes a relaxed structure of TbBe2Pd2Pt. The functional is GGA-PBE.

Computed properties:
Its density is 9.78 Mg/m³. Its space group is P4/mmm (123). As for the uncorrected energy: -0.1956 Ha/atom. For the total magnetization, the calculation gives 0.0000 μB/atom.

```
data_TbBe2Pd2Pt
_chemical_formula_sum 'Tb1 Be2 Pd2 Pt1'
_cell_length_a 4.2281
_cell_length_b 4.2281
_cell_length_c 5.5568
_cell_angle_alpha 90.00
_cell_angle_beta 90.00
_cell_angle_gamma 90.00
_symmetry_space_group_name_H-M 'P 1'
_symmetry_Int_Tables_number 1
loop_
_symmetry_equiv_pos_as_xyz
'x,y,z'
loop_
_atom_site_label
_atom_site_type_symbol
_atom_site_fract_x
_atom_site_fract_y
_atom_site_fract_z
Tb1 Tb 0.0000 0.0000 0.0000
Be1 Be 0.0000 0.5000 0.5000
Be2 Be 0.5000 0.0000 0.5000
Pd1 Pd 0.5000 0.5000 0.2513
Pd2 Pd 0.5000 0.5000 0.7487
Pt1 Pt 0.0000 0.0000 0.5000
```

8.
This record from Alexandria via LeMat-Bulk describes a relaxed structure of HfU3Tl2O12. The functional is GGA-PBE.

Computed properties:
Its density is 7.18 Mg/m³. Its space group is R-3m (166). As for the uncorrected energy: -0.3230 Ha/atom. The raw formation energy is -2.79 eV/atom. For the total magnetization, the calculation gives 0.0000 μB/atom.

```
data_HfU3Tl2O12
_chemical_formula_sum 'Hf1 U3 Tl2 O12'
_cell_length_a 7.7525
_cell_length_b 7.7525
_cell_length_c 7.7525
_cell_angle_alpha 62.13
_cell_angle_beta 62.13
_cell_angle_gamma 62.13
_symmetry_space_group_name_H-M 'P 1'
_symmetry_Int_Tables_number 1
loop_
_symmetry_equiv_pos_as_xyz
'x,y,z'
loop_
_atom_site_label
_atom_site_type_symbol
_atom_site_fract_x
_atom_site_fract_y
_atom_site_fract_z
Hf1 Hf 0.0000 0.0000 0.0000
U1 U 0.0000 0.0000 0.5000
U2 U 0.0000 0.5000 0.0000
U3 U 0.5000 0.0000 0.0000
Tl1 Tl 0.3302 0.3302 0.3302
Tl2 Tl 0.6698 0.6698 0.6698
O1 O 0.0502 0.6851 0.6851
O2 O 0.0608 0.0608 0.6886
O3 O 0.0608 0.6886 0.0608
O4 O 0.3114 0.9392 0.9392
O5 O 0.3149 0.3149 0.9498
O6 O 0.3149 0.9498 0.3149
O7 O 0.6851 0.0502 0.6851
O8 O 0.6851 0.6851 0.0502
O9 O 0.6886 0.0608 0.0608
O10 O 0.9392 0.3114 0.9392
O11 O 0.9392 0.9392 0.3114
O12 O 0.9498 0.3149 0.3149
```